1.
This record from OQMD via LeMat-Bulk describes an optimized crystal structure of La3Mg3Tl2Au. The functional is GGA-PBE.

Summary:
E = -3.519 eV/atom
space-group type = No. 189

Cell lengths 7.8016, 7.8016, 4.6832 Å; angles 90.00, 90.00, 120.00 degrees
Closest atoms and distances in Å follow each position.
Element x y z (fractional)
La: 0.0000 0.4072 0.0000  1 Au 3.18, 4 Tl 3.33
La: 0.4072 0.0000 0.0000  1 Au 3.18, 4 Tl 3.33
La: 0.5928 0.5928 0.0000  1 Au 3.18, 4 Tl 3.33
Mg: 0.0000 0.7685 0.5000  2 Au 2.96, 2 Tl 3.08, 2 Mg 3.13
Mg: 0.2315 0.2315 0.5000  2 Au 2.96, 2 Tl 3.08, 2 Mg 3.13
Mg: 0.7685 0.0000 0.5000  2 Au 2.96, 2 Tl 3.08, 2 Mg 3.13
Tl: 0.3333 0.6667 0.5000  3 Mg 3.08, 6 La 3.33
Tl: 0.6667 0.3333 0.5000  3 Mg 3.08, 6 La 3.33
Au: 0.0000 0.0000 0.0000  6 Mg 2.96, 3 La 3.18

***

2.
This record from OQMD via LeMat-Bulk describes an optimized crystal structure of LaMgZnAu2. The functional is GGA-PBE.

Summary:
E = -3.496 eV/atom
space-group type = No. 119

Cell lengths 7.0222, 7.0222, 7.0222 Å; angles 145.43, 145.43, 49.69 degrees
Closest atoms and distances in Å follow each position.
Element x y z (fractional)
La: 0.0000 0.0000 0.0000  8 Au 3.28
Mg: 0.2500 0.7500 0.5000  4 Au 2.73, 4 Zn 2.95
Zn: 0.7500 0.2500 0.5000  4 Au 2.73, 4 Mg 2.95
Au: 0.3882 0.3882 0.0000  2 Zn 2.73, 2 Mg 2.73, 1 Au 2.85
Au: 0.6118 0.6118 0.0000  2 Zn 2.73, 2 Mg 2.73, 1 Au 2.85

***

3.
This record from OQMD via LeMat-Bulk describes an optimized crystal structure of La3AuN. The functional is GGA-PBE.

Summary:
E = -6.189 eV/atom
space-group type = No. 62

Cell lengths 7.2814, 10.0840, 6.9828 Å; angles 90.00, 90.00, 90.00 degrees
Closest atoms and distances in Å follow each position.
Element x y z (fractional)
La: 0.0241 0.2500 0.0948  2 N 2.61
La: 0.2110 0.0467 0.7034  2 N 2.58-2.62
La: 0.2110 0.4533 0.7034  2 N 2.58-2.62
La: 0.2890 0.5467 0.2034  2 N 2.58-2.62
La: 0.2890 0.9533 0.2034  2 N 2.58-2.62
La: 0.4759 0.7500 0.5948  2 N 2.61
La: 0.5241 0.2500 0.4052  2 N 2.61
La: 0.7110 0.0467 0.7966  2 N 2.58-2.62
La: 0.7110 0.4533 0.7966  2 N 2.58-2.62
La: 0.7890 0.5467 0.2966  2 N 2.58-2.62
La: 0.7890 0.9533 0.2966  2 N 2.58-2.62
La: 0.9759 0.7500 0.9052  2 N 2.61
Au: 0.0592 0.7500 0.4711  6 La 3.09-3.24
Au: 0.4408 0.2500 0.9711  6 La 3.09-3.24
Au: 0.5592 0.7500 0.0289  6 La 3.09-3.24
Au: 0.9408 0.2500 0.5289  6 La 3.09-3.24
N: 0.0000 0.0000 0.0000  6 La 2.58-2.62
N: 0.0000 0.5000 0.0000  6 La 2.58-2.62
N: 0.5000 0.0000 0.5000  6 La 2.58-2.62
N: 0.5000 0.5000 0.5000  6 La 2.58-2.62

***

4.
This record from OQMD via LeMat-Bulk describes an optimized crystal structure of NaLa2Sn2Au. The functional is GGA-PBE.

Summary:
E = -4.371 eV/atom
space-group type = No. 156

Cell lengths 4.9532, 4.9532, 7.8745 Å; angles 90.00, 90.00, 120.00 degrees
Closest atoms and distances in Å follow each position.
Element x y z (fractional)
Na: 0.0000 0.0000 0.0000  3 Sn 2.91
La: 0.3333 0.6667 0.2229  6 Sn 3.31-3.66, 3 Na 3.36, 3 Au 3.68
La: 0.3333 0.6667 0.7057  3 Au 3.22, 6 Sn 3.38-3.57
Sn: 0.0000 0.0000 0.4349  3 Au 2.93
Sn: 0.6667 0.3333 0.9335  3 Na 2.91
Au: 0.6667 0.3333 0.5170  4 Sn 2.93-3.28, 3 La 3.22